Record 1
SrInCu: relaxed, GGA-PBEsol.

Cell: 4.108 4.627 4.627 Å, 120.00 90.00 90.00°
Fractional coordinates of all 3 atoms:
In: 0.000 0.333 0.667
Cu: 0.000 0.000 0.000
Sr: 0.500 0.667 0.333

Total energy, eV/atom: -3.27
SG: P-6m2, No. 187
ΔH_f (0 K), eV per formula unit: -0.6


Record 2
SrTaIn2Cu: relaxed, GGA-PBEsol.

Cell: 5.339 5.339 5.533 Å, 90.00 90.00 90.00°
Fractional coordinates of all 5 atoms:
Ta: 0.000 0.000 0.000
In: 0.500 0.000 0.000
Cu: 0.500 0.500 0.500
Sr: 0.000 0.000 0.500
In: 0.000 0.500 0.000

Total energy, eV/atom: -3.77
SG: P4/mmm, No. 123
ΔH_f (0 K), eV per formula unit: 5.8


Record 3
TaIn2Cu: relaxed, GGA-PBEsol.

Cell: 3.025 3.025 9.318 Å, 80.66 80.66 60.00°
Fractional coordinates of all 4 atoms:
Cu: 0.500 0.500 0.500
In: 0.244 0.244 0.267
Ta: 0.000 0.000 0.000
In: 0.756 0.756 0.733

Total energy, eV/atom: -5.50
SG: R-3m, No. 166
Energy above the most stable polymorph in this dataset, meV per atom: 0.0
ΔH_f (0 K), eV per formula unit: 0.9


Record 4
TaIn2Cu: relaxed, GGA-PBEsol.

Cell: 3.425 4.464 5.469 Å, 114.09 108.25 90.00°
Fractional coordinates of all 4 atoms:
Ta: 0.500 0.000 0.000
In: 0.729 0.729 0.458
In: 0.271 0.271 0.542
Cu: 0.000 0.500 0.000

Total energy, eV/atom: -5.37
SG: Immm, No. 71
Energy above the most stable polymorph in this dataset, meV per atom: 124.2
ΔH_f (0 K), eV per formula unit: 1.4


Record 5
TaInCu2W: relaxed, GGA-PBEsol.

Cell: 4.396 4.396 5.077 Å, 90.00 90.00 90.00°
Fractional coordinates of all 5 atoms:
W: 0.500 0.500 0.500
Cu: 0.000 0.500 0.000
Ta: 0.000 0.000 0.500
In: 0.000 0.000 0.000
Cu: 0.500 0.000 0.000

Total energy, eV/atom: -5.63
SG: P4/mmm, No. 123
ΔH_f (0 K), eV per formula unit: 9.8


Record 6
TaZnIn2Cu: relaxed, GGA-PBEsol.

Cell: 4.672 4.672 4.856 Å, 90.00 90.00 90.00°
Fractional coordinates of all 5 atoms:
In: 0.500 0.000 0.000
Zn: 0.500 0.500 0.500
Cu: 0.000 0.000 0.000
In: 0.000 0.500 0.000
Ta: 0.000 0.000 0.500

Total energy, eV/atom: -4.08
SG: P4/mmm, No. 123
ΔH_f (0 K), eV per formula unit: 4.0


Record 7
TbIn7Cu5: relaxed, GGA-PBEsol.

Cell: 5.511 7.104 7.104 Å, 81.59 67.18 67.18°
Fractional coordinates of all 13 atoms:
In: 0.664 0.336 0.336
Cu: 0.992 0.495 0.006
In: 0.486 0.204 0.823
In: 0.013 0.650 0.324
In: 0.731 0.769 0.769
Cu: 0.507 0.495 0.006
Tb: 0.000 0.000 0.000
In: 0.486 0.823 0.204
Cu: 0.507 0.006 0.495
Cu: 0.992 0.006 0.495
Cu: 0.263 0.237 0.237
In: 0.013 0.324 0.650
In: 0.345 0.655 0.655

Total energy, eV/atom: -3.78
SG: Imm2, No. 44
ΔH_f (0 K), eV per formula unit: -1.6


Record 8
TbIn6Cu6: relaxed, GGA-PBEsol.

Cell: 5.335 6.968 6.968 Å, 81.16 67.49 67.49°
Fractional coordinates of all 13 atoms:
Cu: 0.500 0.000 0.500
In: 0.000 0.337 0.663
In: 0.319 0.181 0.181
In: 0.000 0.663 0.337
Tb: 0.000 0.000 0.000
Cu: 0.500 0.500 0.000
In: 0.342 0.658 0.658
Cu: 0.500 0.764 0.236
Cu: 0.000 0.000 0.500
Cu: 0.500 0.236 0.764
Cu: 0.000 0.500 0.000
In: 0.681 0.819 0.819
In: 0.658 0.342 0.342

Total energy, eV/atom: -3.94
SG: Immm, No. 71
ΔH_f (0 K), eV per formula unit: -2.3


Record 9
TbInCu4: relaxed, GGA-PBEsol.

Cell: 5.037 5.037 5.037 Å, 60.00 60.00 60.00°
Fractional coordinates of all 6 atoms:
Cu: 0.876 0.375 0.375
Cu: 0.375 0.375 0.375
Cu: 0.375 0.876 0.375
Cu: 0.375 0.375 0.876
Tb: 0.750 0.750 0.750
In: 0.000 0.000 0.000

Total energy, eV/atom: -4.52
SG: F-43m, No. 216
ΔH_f (0 K), eV per formula unit: -1.8


Record 10
Tb2In3Cu: relaxed, GGA-PBEsol.

Cell: 4.653 4.653 7.352 Å, 90.00 90.00 120.00°
Fractional coordinates of all 6 atoms:
Cu: 0.000 0.000 0.454
In: 0.333 0.667 0.517
In: 0.333 0.667 0.950
Tb: 0.667 0.333 0.276
Tb: 0.667 0.333 0.737
In: 0.000 0.000 0.065

Total energy, eV/atom: -4.34
SG: P3m1, No. 156
ΔH_f (0 K), eV per formula unit: -2.8


Record 11
InCuTc2W: relaxed, GGA-PBEsol.

Cell: 4.757 4.757 4.849 Å, 90.00 90.00 90.00°
Fractional coordinates of all 5 atoms:
W: 0.000 0.000 0.500
Tc: 0.000 0.500 0.000
Cu: 0.500 0.500 0.500
Tc: 0.500 0.000 0.000
In: 0.000 0.000 0.000

Total energy, eV/atom: -5.77
SG: P4/mmm, No. 123
ΔH_f (0 K), eV per formula unit: 14.8


Record 12
In5CuTe8: relaxed, GGA-PBEsol.

Cell: 7.541 7.541 8.684 Å, 89.90 89.90 109.68°
Fractional coordinates of all 14 atoms:
In: 0.489 0.989 0.243
Te: 0.671 0.389 0.247
Te: 0.611 0.894 0.533
In: 0.009 0.991 0.500
In: 0.011 0.511 0.757
Te: 0.106 0.389 0.467
Te: 0.161 0.902 0.770
Cu: 0.001 0.999 0.000
Te: 0.098 0.839 0.230
Te: 0.100 0.357 0.027
In: 0.499 0.501 0.500
Te: 0.643 0.900 0.973
Te: 0.611 0.329 0.753
In: 0.490 0.510 0.000

Uncorrected formation energy, eV/atom: -0.258
Total energy, eV/atom: -3.65
SG: C2, No. 5


Record 13
InCuTe: relaxed, GGA-PBEsol.

Cell: 3.099 3.483 6.451 Å, 105.66 103.90 90.00°
Fractional coordinates of all 3 atoms:
Cu: 0.003 0.003 0.006
Te: 0.635 0.635 0.271
In: 0.362 0.362 0.723

Uncorrected formation energy, eV/atom: 0.171
Total energy, eV/atom: -3.44
SG: Imm2, No. 44
Energy above the most stable polymorph in this dataset, meV per atom: 154.8


Record 14
InCuTe: relaxed, GGA-PBEsol.

Cell: 4.622 4.622 4.622 Å, 60.00 60.00 60.00°
Fractional coordinates of all 3 atoms:
Cu: 0.250 0.250 0.250
In: 0.000 0.000 0.000
Te: 0.500 0.500 0.500

Uncorrected formation energy, eV/atom: 0.016
Total energy, eV/atom: -3.60
SG: F-43m, No. 216
Energy above the most stable polymorph in this dataset, meV per atom: 0.0


Record 15
ThInCu5: relaxed, GGA-PBEsol.

Cell: 5.012 8.208 10.477 Å, 90.00 90.00 90.00°
Fractional coordinates of all 28 atoms:
Cu: 0.999 0.568 0.187
Cu: 0.250 0.819 0.255
Cu: 0.999 0.068 0.313
Cu: 0.750 0.585 0.983
Cu: 0.499 0.932 0.687
Cu: 0.750 0.181 0.745
Cu: 0.250 0.319 0.245
Cu: 0.501 0.068 0.313
Th: 0.750 0.247 0.060
In: 0.750 0.361 0.362
Cu: 0.750 0.681 0.755
Cu: 0.750 0.439 0.606
Cu: 0.750 0.939 0.894
Cu: 0.501 0.568 0.187
Cu: 0.001 0.932 0.687
Th: 0.250 0.253 0.560
In: 0.250 0.139 0.862
In: 0.750 0.861 0.138
Th: 0.250 0.753 0.940
Cu: 0.250 0.561 0.394
Cu: 0.250 0.415 0.017
Cu: 0.250 0.061 0.106
Cu: 0.250 0.915 0.483
Th: 0.750 0.747 0.440
Cu: 0.499 0.432 0.813
Cu: 0.750 0.085 0.517
Cu: 0.001 0.432 0.813
In: 0.250 0.639 0.638

Total energy, eV/atom: -4.90
SG: Pnma, No. 62
ΔH_f (0 K), eV per formula unit: -1.5


Record 16
ThInCu2: relaxed, GGA-PBEsol.

Cell: 4.761 4.761 4.761 Å, 60.00 60.00 60.00°
Fractional coordinates of all 4 atoms:
In: 0.000 0.000 0.000
Cu: 0.250 0.250 0.250
Th: 0.500 0.500 0.500
Cu: 0.750 0.750 0.750

Total energy, eV/atom: -5.18
SG: Fm-3m, No. 225
ΔH_f (0 K), eV per formula unit: -1.0


Record 17
Tl3InCu: relaxed, GGA-PBEsol.

Cell: 5.631 5.631 5.631 Å, 90.00 90.00 90.00°
Fractional coordinates of all 5 atoms:
Cu: 0.500 0.500 0.500
Tl: 0.000 0.500 0.000
In: 0.000 0.000 0.000
Tl: 0.000 0.000 0.500
Tl: 0.500 0.000 0.000

Total energy, eV/atom: -2.23
SG: Pm-3m, No. 221
ΔH_f (0 K), eV per formula unit: 4.0


Record 18
Tl2InCu: relaxed, GGA-PBEsol.

Cell: 5.089 5.089 5.089 Å, 60.00 60.00 60.00°
Fractional coordinates of all 4 atoms:
Cu: 0.500 0.500 0.500
Tl: 0.750 0.750 0.750
Tl: 0.000 0.000 0.000
In: 0.250 0.250 0.250

Total energy, eV/atom: -2.83
SG: F-43m, No. 216
ΔH_f (0 K), eV per formula unit: 1.2


Record 19
Tl2InCu: relaxed, GGA-PBEsol.

Cell: 4.506 4.506 5.514 Å, 114.12 114.12 90.00°
Fractional coordinates of all 4 atoms:
Tl: 0.000 0.000 0.000
In: 0.250 0.750 0.500
Tl: 0.750 0.250 0.500
Cu: 0.500 0.500 0.000

Total energy, eV/atom: -2.86
SG: I-4m2, No. 119
ΔH_f (0 K), eV per formula unit: 1.1


Record 20
TmInCu2: relaxed, GGA-PBEsol.

Cell: 4.571 4.571 4.571 Å, 60.00 60.00 60.00°
Fractional coordinates of all 4 atoms:
Cu: 0.750 0.750 0.750
Tm: 0.500 0.500 0.500
Cu: 0.250 0.250 0.250
In: 0.000 0.000 0.000

Total energy, eV/atom: -4.49
SG: Fm-3m, No. 225
ΔH_f (0 K), eV per formula unit: -1.4


Record 21
InCuW: relaxed, GGA-PBEsol.

Cell: 2.867 2.867 6.786 Å, 90.00 90.00 120.00°
Fractional coordinates of all 3 atoms:
Cu: 0.000 0.000 0.008
W: 0.667 0.333 0.316
In: 0.333 0.667 0.676

Total energy, eV/atom: -6.56
SG: P3m1, No. 156
ΔH_f (0 K), eV per formula unit: 1.4


Record 22
In2CuW: relaxed, GGA-PBEsol.

Cell: 3.002 4.663 5.686 Å, 114.21 105.31 90.00°
Fractional coordinates of all 4 atoms:
W: 0.523 0.523 0.045
In: 0.980 0.980 0.960
Cu: 0.238 0.738 0.476
In: 0.760 0.260 0.520

Total energy, eV/atom: -5.58
SG: Imm2, No. 44
Energy above the most stable polymorph in this dataset, meV per atom: 0.0
ΔH_f (0 K), eV per formula unit: 1.8


Record 23
In2CuW: relaxed, GGA-PBEsol.

Cell: 3.884 3.884 5.329 Å, 111.37 111.37 90.00°
Fractional coordinates of all 4 atoms:
In: 0.750 0.250 0.500
In: 0.000 0.000 0.000
W: 0.500 0.500 0.000
Cu: 0.250 0.750 0.500

Total energy, eV/atom: -5.50
SG: I-4m2, No. 119
Energy above the most stable polymorph in this dataset, meV per atom: 83.7
ΔH_f (0 K), eV per formula unit: 2.1


Record 24
In2CuW: relaxed, GGA-PBEsol.

Cell: 2.876 2.876 8.284 Å, 90.00 90.00 90.00°
Fractional coordinates of all 4 atoms:
Cu: 0.500 0.500 0.500
W: 0.500 0.500 0.000
In: 0.000 0.000 0.736
In: 0.000 0.000 0.264

Total energy, eV/atom: -5.55
SG: P4/mmm, No. 123
Energy above the most stable polymorph in this dataset, meV per atom: 33.0
ΔH_f (0 K), eV per formula unit: 1.9


Record 25
In2CuW: relaxed, GGA-PBEsol.

Cell: 2.888 4.919 5.244 Å, 103.11 90.00 107.07°
Fractional coordinates of all 4 atoms:
In: 0.240 0.481 0.245
Cu: 0.500 0.000 0.000
W: 0.000 0.000 0.500
In: 0.760 0.519 0.755

Total energy, eV/atom: -5.49
SG: C2/m, No. 12
Energy above the most stable polymorph in this dataset, meV per atom: 91.0
ΔH_f (0 K), eV per formula unit: 2.1


Record 26
Y2InCu2: relaxed, GGA-PBEsol.

Cell: 3.723 7.390 7.390 Å, 90.00 90.00 90.00°
Fractional coordinates of all 10 atoms:
In: 0.000 0.000 0.000
Cu: 0.000 0.380 0.120
Y: 0.500 0.327 0.827
Y: 0.500 0.673 0.173
Y: 0.500 0.827 0.673
In: 0.000 0.500 0.500
Cu: 0.000 0.120 0.620
Y: 0.500 0.173 0.327
Cu: 0.000 0.880 0.380
Cu: 0.000 0.620 0.880

Total energy, eV/atom: -5.47
SG: P4/mbm, No. 127
ΔH_f (0 K), eV per formula unit: -2.1